Version a
DFT (PBE) results for a geometry-optimized Mn3CoOs structure.

Cell lengths 5.0346, 5.0346, 10.9170 Å; angles 90.00, 90.00, 120.00 degrees
Fractional positions:
Mn 0.0000 0.5000 0.0000
Mn 0.1667 0.3333 0.3333
Mn 0.1667 0.8333 0.3333
Mn 0.3333 0.1667 0.6667
Mn 0.5000 0.0000 0.0000
Mn 0.5000 0.5000 0.0000
Mn 0.6667 0.8333 0.3333
Mn 0.8333 0.1667 0.6667
Mn 0.8333 0.6667 0.6667
Co 0.0000 0.0000 0.5000
Co 0.3333 0.6667 0.1667
Co 0.6667 0.3333 0.8333
Os 0.0000 0.0000 0.0000
Os 0.3333 0.6667 0.6667
Os 0.6667 0.3333 0.3333

Values from the calculation:
The mass density is 8.606 g cm⁻³.

---

Version b
DFT (PBE) results for a geometry-optimized Mn3CoOs structure.

Cell lengths 4.5553, 4.5553, 4.5553 Å; angles 90.00, 90.00, 90.00 degrees
Fractional positions:
Mn 0.0000 0.0000 0.5000
Mn 0.0000 0.5000 0.0000
Mn 0.5000 0.0000 0.0000
Co 0.5000 0.5000 0.5000
Os 0.0000 0.0000 0.0000

Values from the calculation:
The mass density is 7.272 g cm⁻³.

---

Energetically preferred structure: version a | next structure: +36.7 kJ/mol of atoms

---

Version a
DFT (PBE) results for a geometry-optimized Mn2Co2Os structure.

Cell lengths 6.6979, 6.6979, 2.5566 Å; angles 90.00, 90.00, 90.00 degrees
Fractional positions:
Mn 0.1159 0.3841 0.0000
Mn 0.3841 0.8841 0.0000
Mn 0.6159 0.1159 0.0000
Mn 0.8841 0.6159 0.0000
Co 0.1787 0.6787 0.5000
Co 0.3213 0.1787 0.5000
Co 0.6787 0.8213 0.5000
Co 0.8213 0.3213 0.5000
Os 0.0000 0.0000 0.0000
Os 0.5000 0.5000 0.0000

Values from the calculation:
The mass density is 12.103 g cm⁻³.

---

Version b
DFT (PBE) results for a geometry-optimized Mn2Co2Os structure.

Cell lengths 6.6738, 6.6738, 2.5558 Å; angles 90.00, 90.00, 90.00 degrees
Fractional positions:
Mn 0.1747 0.3253 0.0000
Mn 0.3253 0.8253 0.0000
Mn 0.6747 0.1747 0.0000
Mn 0.8253 0.6747 0.0000
Co 0.1221 0.6221 0.5000
Co 0.3779 0.1221 0.5000
Co 0.6221 0.8779 0.5000
Co 0.8779 0.3779 0.5000
Os 0.0000 0.0000 0.5000
Os 0.5000 0.5000 0.5000

Values from the calculation:
The mass density is 12.194 g cm⁻³.

---

Energetically preferred structure: version b | next structure: +6.8 kJ/mol of atoms

---

Version a
DFT (PBE) results for a geometry-optimized Mn2CoPPt structure.

Cell lengths 4.9365, 4.9365, 4.3386 Å; angles 90.00, 90.00, 90.00 degrees
Fractional positions:
Mn 0.0000 0.5000 0.0000
Mn 0.5000 0.0000 0.0000
Co 0.0000 0.0000 0.5000
P 0.5000 0.5000 0.5000
Pt 0.5000 0.5000 0.0000

Values from the calculation:
The mass density is 6.202 g cm⁻³.

---

Version b
DFT (PBE) results for a geometry-optimized Mn2CoPPt structure.

Cell lengths 4.3113, 4.3113, 4.4065 Å; angles 90.00, 90.00, 90.00 degrees
Fractional positions:
Mn 0.0000 0.5000 0.0000
Mn 0.5000 0.0000 0.0000
Co 0.0000 0.0000 0.5000
P 0.5000 0.5000 0.0000
Pt 0.5000 0.5000 0.5000

Values from the calculation:
The mass density is 8.005 g cm⁻³.

---

Energetically preferred structure: version b | next structure: +51.3 kJ/mol of atoms

---

Version a
DFT (PBE) results for a geometry-optimized MnCoP2S structure.

Cell lengths 4.2867, 4.2867, 4.6958 Å; angles 90.00, 90.00, 90.00 degrees
Fractional positions:
Mn 0.0000 0.0000 0.0000
Co 0.5000 0.5000 0.5000
P 0.0000 0.5000 0.5000
P 0.5000 0.0000 0.5000
S 0.5000 0.5000 0.0000

Values from the calculation:
The mass density is 4.001 g cm⁻³.

---

Version b
DFT (PBE) results for a geometry-optimized MnCoP2S structure.

Cell lengths 4.3548, 4.3548, 4.5086 Å; angles 90.00, 90.00, 90.00 degrees
Fractional positions:
Mn 0.0000 0.0000 0.0000
Co 0.5000 0.5000 0.5000
P 0.0000 0.5000 0.0000
P 0.5000 0.0000 0.0000
S 0.0000 0.0000 0.5000

Values from the calculation:
The mass density is 4.037 g cm⁻³.

---

Energetically preferred structure: version b | next structure: +17.6 kJ/mol of atoms